# Cs2HgPdO4 (PBE, optimized geometry)
# * crystal system: orthorhombic
# * calculated total energy: -4.003 eV/atom
# * density: 4.3 g/cm³
data_Cs2HgPdO4
_cell_length_a 6.3712
_cell_length_b 7.8691
_cell_length_c 11.2816
_cell_angle_alpha 83.44
_cell_angle_beta 73.60
_cell_angle_gamma 66.12
_space_group_name_H-M_alt 'P 1'
_space_group_IT_number 1
loop_
_space_group_symop_operation_xyz
'x,y,z'
loop_
_atom_site_label
_atom_site_fract_x
_atom_site_fract_y
_atom_site_fract_z
O1 0.8192 0.8113 0.9970
O2 0.3694 0.8113 0.0030
O3 0.3806 0.6887 0.4970
O4 0.9308 0.6887 0.5030
O5 0.1838 0.1887 0.9970
O6 0.5662 0.3113 0.5030
O7 0.6275 0.1887 0.0030
O8 0.1225 0.3113 0.4970
Hg1 0.7500 0.5000 0.5000
Hg2 0.0000 0.0000 0.0000
Pd1 0.2500 0.5000 0.5000
Pd2 0.5000 0.0000 0.0000
Cs1 0.5755 0.5000 0.8490
Cs2 0.9245 0.5000 0.1510
Cs3 0.8255 0.0000 0.3490
Cs4 0.1745 0.0000 0.6510

# Ca2LaHg4 (PBE, optimized geometry)
# * crystal system: trigonal
# * density: 7.9 g/cm³
# * E_form: -0.395 eV per atom
data_Ca2LaHg4
_cell_length_a 5.2746
_cell_length_b 5.2746
_cell_length_c 9.4537
_cell_angle_alpha 73.80
_cell_angle_beta 73.80
_cell_angle_gamma 60.00
_space_group_name_H-M_alt 'P 1'
_space_group_IT_number 1
loop_
_space_group_symop_operation_xyz
'x,y,z'
loop_
_atom_site_label
_atom_site_fract_x
_atom_site_fract_y
_atom_site_fract_z
Ca1 0.7580 0.7580 0.7260
Ca2 0.2420 0.2420 0.2740
Hg1 0.1237 0.1237 0.6288
Hg2 0.3775 0.3775 0.8674
Hg3 0.6225 0.6225 0.1326
Hg4 0.8763 0.8763 0.3712
La1 0.0000 0.0000 0.0000

# SrY2Mg (PBE, optimized geometry)
# * crystal system: orthorhombic
# * density: 3.5 g/cm³
# * E_form: 0.099 eV per atom
data_SrY2Mg
_cell_length_a 3.6787
_cell_length_b 4.9674
_cell_length_c 7.5327
_cell_angle_alpha 90.00
_cell_angle_beta 90.00
_cell_angle_gamma 90.00
_space_group_name_H-M_alt 'P 1'
_space_group_IT_number 1
loop_
_space_group_symop_operation_xyz
'x,y,z'
loop_
_atom_site_label
_atom_site_fract_x
_atom_site_fract_y
_atom_site_fract_z
Y1 0.0000 0.0000 0.0376
Y2 0.5000 0.5000 0.2533
Sr1 0.5000 0.5000 0.7383
Mg1 0.0000 0.0000 0.4708

# K2NaBrF6 (PBE, optimized geometry)
# * crystal system: orthorhombic
# * calculated total energy: -3.678 eV/atom
# * density: 2.7 g/cm³
data_K2NaBrF6
_cell_length_a 6.6315
_cell_length_b 6.5820
_cell_length_c 8.1642
_cell_angle_alpha 90.00
_cell_angle_beta 90.00
_cell_angle_gamma 90.00
_space_group_name_H-M_alt 'P 1'
_space_group_IT_number 1
loop_
_space_group_symop_operation_xyz
'x,y,z'
loop_
_atom_site_label
_atom_site_fract_x
_atom_site_fract_y
_atom_site_fract_z
F1 0.2086 0.3837 0.5000
F2 0.2427 0.9202 0.5000
F3 0.7427 0.0798 0.0000
F4 0.7914 0.3837 0.5000
F5 0.5000 0.3804 0.7343
F6 0.0000 0.6196 0.2343
F7 0.7086 0.6163 0.0000
F8 0.5000 0.3804 0.2657
F9 0.0000 0.6196 0.7657
F10 0.2914 0.6163 0.0000
F11 0.2573 0.0798 0.0000
F12 0.7573 0.9202 0.5000
K1 0.5000 0.8726 0.7574
K2 0.0000 0.1274 0.2574
K3 0.0000 0.1274 0.7426
K4 0.5000 0.8726 0.2426
Na1 0.0000 0.6896 0.5000
Na2 0.5000 0.3104 0.0000
Br1 0.0000 0.6201 0.0000
Br2 0.5000 0.3799 0.5000